Record 1
Here is an optimized crystal structure of Nd7Dy2Er from Alexandria via LeMat-Bulk. Energies are from GGA-PBE.

Cell and atoms, written as extended XYZ:
```
10
Lattice="4.4149 -8.3558 0.0000 4.4149 8.3558 0.0000 0.0000 0.0000 5.6076" Properties=species:S:1:pos:R:3 pbc="T T T"
Nd 0.0000 0.0000 0.0000
Nd 2.8335 1.8695 0.0000
Nd 4.4149 3.5903 2.8038
Nd 2.8335 -1.8695 0.0000
Nd 5.9962 1.8695 0.0000
Nd 4.4149 -3.5903 2.8038
Nd 5.9962 -1.8695 0.0000
Dy 4.4149 4.9230 0.0000
Dy 4.4149 -4.9230 0.0000
Er 4.4149 0.0000 2.8038
```

Magnetization   0.000 μB/f.u.
Energy   -4.076 eV per atom
Formation energy from the elements   0.638 eV per atom

Record 2
Here is an optimized crystal structure of Nd2Dy3Er3 from Alexandria via LeMat-Bulk. Energies are from GGA-PBE.

Cell and atoms, written as extended XYZ:
```
8
Lattice="-2.5237 2.5243 10.0415 2.5237 -2.5243 10.0415 2.5237 2.5243 -10.0415" Properties=species:S:1:pos:R:3 pbc="T T T"
Nd 0.0000 0.0000 5.0218
Nd 0.0000 0.0000 15.0611
Dy 0.0000 0.0000 0.0000
Dy 2.5237 0.0000 7.5787
Dy 0.0000 2.5243 2.4628
Er 2.5237 0.0000 2.4657
Er 0.0000 0.0000 10.0415
Er 0.0000 2.5243 7.5758
```

Magnetization   0.000 μB/f.u.
Energy   -4.605 eV per atom
Formation energy from the elements   0.024 eV per atom
E above lowest polymorph   0.0 meV/atom

Record 3
Here is an optimized crystal structure of Nd3Dy2Er4 from Alexandria via LeMat-Bulk. Energies are from GGA-PBE.

Cell and atoms, written as extended XYZ:
```
9
Lattice="7.7999 -1.7848 0.0000 7.7999 1.7848 0.0000 -2.4538 0.0000 10.3983" Properties=species:S:1:pos:R:3 pbc="T T T"
Nd 0.0000 0.0000 0.0000
Nd 4.1226 0.0000 4.6112
Nd 9.0234 0.0000 5.7871
Dy 3.2845 0.0000 8.1068
Dy 9.8615 0.0000 2.2915
Er 14.7820 0.0000 3.4493
Er -1.6360 0.0000 6.9491
Er 4.9273 0.0000 1.1487
Er 8.2187 0.0000 9.2497
```

Magnetization   0.000 μB/f.u.
Energy   -4.620 eV per atom
Formation energy from the elements   0.020 eV per atom
E above lowest polymorph   0.0 meV/atom

Record 4
Here is an optimized crystal structure of Nd6DyEr6 from Alexandria via LeMat-Bulk. Energies are from GGA-PBE.

Cell and atoms, written as extended XYZ:
```
13
Lattice="6.5899 0.0000 0.0000 0.0000 11.1306 0.0000 -2.8060 0.0000 6.0112" Properties=species:S:1:pos:R:3 pbc="T T T"
Nd 0.0000 1.9384 0.0000
Nd 0.0000 9.1923 0.0000
Nd -0.3035 0.0000 4.4768
Nd 0.4579 5.5653 3.6714
Nd 3.3260 5.5653 2.3398
Nd 4.0874 0.0000 1.5344
Dy 0.0000 5.5653 0.0000
Er -1.4030 2.9705 3.0056
Er -1.4030 8.1602 3.0056
Er 1.8920 2.1963 3.0056
Er 3.2949 3.1805 0.0000
Er 3.2949 7.9501 0.0000
Er 1.8920 8.9344 3.0056
```

Magnetization   0.000 μB/f.u.
Energy   -4.443 eV per atom
Formation energy from the elements   0.217 eV per atom

Record 5
Here is an optimized crystal structure of Nd3DyEr3 from Alexandria via LeMat-Bulk. Energies are from GGA-PBE.

Cell and atoms, written as extended XYZ:
```
14
Lattice="9.6245 0.0000 0.0000 -4.8122 8.3351 0.0000 0.0000 0.0000 5.7514" Properties=species:S:1:pos:R:3 pbc="T T T"
Nd -3.4014 6.7208 1.4378
Nd 0.6926 2.0289 1.4378
Nd 2.1034 0.4147 4.3135
Nd 2.7089 7.9204 1.4378
Nd 4.1197 6.3061 4.3135
Nd 8.2137 1.6143 4.3135
Dy 0.0000 5.5567 1.4378
Dy 4.8123 2.7783 4.3135
Er -2.0468 5.1325 4.3135
Er 1.3908 3.9962 4.3135
Er 4.1562 0.7937 1.4378
Er 0.6560 7.5414 4.3135
Er 3.4215 4.3388 1.4378
Er 6.8590 3.2026 1.4378
```

Magnetization   0.000 μB/f.u.
Energy   -4.635 eV per atom
Formation energy from the elements   0.021 eV per atom
E above lowest polymorph   0.0 meV/atom

Record 6
Here is an optimized crystal structure of Nd5Dy4Er3 from Alexandria via LeMat-Bulk. Energies are from GGA-PBE.

Cell and atoms, written as extended XYZ:
```
12
Lattice="5.7374 -2.7353 0.0000 5.7374 2.7353 0.0000 -3.4459 0.0000 12.7650" Properties=species:S:1:pos:R:3 pbc="T T T"
Nd 0.0000 0.0000 0.0000
Nd -0.0131 0.0000 5.9318
Nd 1.2424 0.0000 9.4000
Nd 6.7865 0.0000 3.3650
Nd 8.0420 0.0000 6.8332
Dy 2.7209 0.0000 1.3297
Dy 3.4324 0.0000 4.7257
Dy 4.5965 0.0000 8.0393
Dy 5.3080 0.0000 11.4353
Er -2.1684 0.0000 9.9954
Er 5.7374 0.0000 0.0000
Er 10.1973 0.0000 2.7696
```

Magnetization   0.184 μB/f.u.
Energy   -4.434 eV per atom
Formation energy from the elements   0.227 eV per atom

Record 7
Here is an optimized crystal structure of Nd8Dy2Er from Alexandria via LeMat-Bulk. Energies are from GGA-PBE.

Cell and atoms, written as extended XYZ:
```
11
Lattice="8.4197 -3.4140 0.0000 8.4197 3.4140 0.0000 -1.2262 0.0000 6.6268" Properties=species:S:1:pos:R:3 pbc="T T T"
Nd 0.4651 0.0000 6.0633
Nd 6.2331 1.7872 3.9520
Nd 3.4703 0.0000 4.5047
Nd 9.3802 1.7872 2.6747
Nd 6.2331 -1.7872 3.9520
Nd 12.1430 0.0000 2.1221
Nd 9.3802 -1.7872 2.6747
Nd 15.1481 0.0000 0.5634
Dy 4.8934 0.0000 1.2776
Dy 10.7198 0.0000 5.3492
Er 8.4197 0.0000 0.0000
```

Magnetization   0.000 μB/f.u.
Energy   -4.553 eV per atom
Formation energy from the elements   0.166 eV per atom
E above lowest polymorph   0.0 meV/atom

Record 8
Here is an optimized crystal structure of Nd12Dy2Er from Alexandria via LeMat-Bulk. Energies are from GGA-PBE.

Cell and atoms, written as extended XYZ:
```
30
Lattice="6.5663 0.0000 0.0000 0.0000 6.5663 0.0000 0.0000 0.0000 25.5458" Properties=species:S:1:pos:R:3 pbc="T T T"
Nd 0.4411 3.7242 2.8998
Nd 0.4411 6.1252 22.6461
Nd 0.5382 3.8214 14.3707
Nd 0.5382 6.0280 11.1751
Nd 1.6416 1.6416 5.4800
Nd 1.6416 1.6416 8.6012
Nd 1.6416 1.6416 16.9447
Nd 1.6416 1.6416 20.0658
Nd 2.7449 3.8214 11.1751
Nd 2.7449 6.0280 14.3707
Nd 2.8420 3.7242 22.6461
Nd 2.8420 6.1252 2.8998
Nd 3.7242 0.4411 22.6461
Nd 3.7242 2.8420 2.8998
Nd 3.8214 0.5382 11.1751
Nd 3.8214 2.7449 14.3707
Nd 4.9247 4.9247 5.4800
Nd 4.9247 4.9247 8.6012
Nd 4.9247 4.9247 16.9447
Nd 4.9247 4.9247 20.0658
Nd 6.0280 0.5382 14.3707
Nd 6.0280 2.7449 11.1751
Nd 6.1252 0.4411 2.8998
Nd 6.1252 2.8420 22.6461
Dy 1.6416 4.9247 6.9274
Dy 1.6416 4.9247 18.6185
Dy 4.9247 1.6416 6.9274
Dy 4.9247 1.6416 18.6185
Er 1.6416 4.9247 0.0000
Er 4.9247 1.6416 0.0000
```

Magnetization   0.000 μB/f.u.
Energy   -4.410 eV per atom
Formation energy from the elements   0.322 eV per atom